Compound: Cs2KCr2F7
Source: the Alexandria database
Functional: PBE with a Hubbard U
Structure: optimized geometry

abc: 4.4245 4.4245 11.6993
angles: 79.07 79.07 90.00
Last column: magnetic moment on the atom in μB.
Element x y z (fractional)
Cs 0.8178 0.8178 0.3628  0.00
Cs 0.1822 0.1822 0.6372  0.00
K 0.0000 0.0000 0.0000  0.00
Cr 0.5904 0.5904 0.8203  3.82
Cr 0.4096 0.4096 0.1797  3.82
F 0.5000 0.5000 0.0000  0.01
F 0.3197 0.3197 0.3595  0.00
F 0.6803 0.6803 0.6405  0.00
F 0.9122 0.4119 0.1745  0.02
F 0.4119 0.9122 0.1745  0.02
F 0.5881 0.0878 0.8255  0.02
F 0.0878 0.5881 0.8255  0.02

* magnetization: 8.000 μB/f.u.
* E_tot: -5.26 eV per atom